No. 1
The following is a PBE calculation of crystalline Nd7Ho3Tm2 at its relaxed geometry, from the Alexandria database.

Values from the calculation:
Volume (Å³/f.u.): 402.1
ΔE_f (meV/atom): 117
SG: Cmmm, No. 65
ΔE to the lowest computed polymorph (eV/atom): 0.000

```
12
Lattice="2.901 -19.120 0.000 2.901 19.120 0.000 0.000 0.000 3.624" Properties=species:S:1:pos:R:3 pbc="T T T"
Nd 0.000 0.000 0.000
Nd 2.901 16.327 1.812
Nd 2.901 10.232 0.000
Nd 2.901 3.577 0.000
Nd 2.901 -3.577 0.000
Nd 2.901 -10.232 0.000
Nd 2.901 -16.327 1.812
Ho 2.901 7.048 1.812
Ho 2.901 0.000 1.812
Ho 2.901 -7.048 1.812
Tm 2.901 13.418 0.000
Tm 2.901 -13.418 0.000
```

=====

No. 2
The following is a PBE calculation of crystalline NdHo5Tm2 at its relaxed geometry, from the Alexandria database.

Values from the calculation:
Volume (Å³/f.u.): 249.4
ΔE_f (meV/atom): 20
SG: Pbam, No. 55
ΔE to the lowest computed polymorph (eV/atom): 0.000

```
16
Lattice="7.071 0.000 0.000 0.000 14.147 0.000 0.000 0.000 4.986" Properties=species:S:1:pos:R:3 pbc="T T T"
Nd 0.000 0.000 0.000
Nd 3.536 7.074 0.000
Ho 0.000 7.074 0.000
Ho 0.008 3.552 0.000
Ho 1.756 8.855 2.493
Ho 1.780 1.782 2.493
Ho 3.528 10.626 0.000
Ho 3.536 0.000 0.000
Ho 3.543 3.521 0.000
Ho 5.291 12.366 2.493
Ho 5.316 5.292 2.493
Ho 7.063 10.595 0.000
Tm 1.768 5.293 2.493
Tm 1.767 12.367 2.493
Tm 5.304 1.780 2.493
Tm 5.303 8.854 2.493
```

=====

No. 3
The following is a PBE calculation of crystalline Nd2Ho3Tm5 at its relaxed geometry, from the Alexandria database.

Values from the calculation:
Volume (Å³/f.u.): 321.4
ΔE_f (meV/atom): 197
SG: C2/c, No. 15
ΔE to the lowest computed polymorph (eV/atom): 0.000

```
20
Lattice="5.276 -7.872 0.000 5.276 7.872 0.000 -5.276 0.000 7.738" Properties=species:S:1:pos:R:3 pbc="T T T"
Nd 1.310 1.989 0.363
Nd -1.328 -1.989 4.232
Nd 6.604 1.989 3.506
Nd 3.966 -1.989 7.375
Ho 1.319 7.527 5.804
Ho 1.312 1.971 3.475
Ho -1.326 -1.971 7.344
Ho 6.603 1.971 0.394
Ho 3.964 -1.971 4.263
Ho 3.957 -7.527 1.935
Tm -1.285 1.984 5.834
Tm 1.319 4.292 5.804
Tm 3.957 3.565 1.935
Tm 1.353 -1.984 1.965
Tm 3.957 0.362 1.935
Tm 1.319 -0.362 5.804
Tm 3.923 1.984 5.774
Tm 1.319 -3.565 5.804
Tm 3.957 -4.292 1.935
Tm 6.561 -1.984 1.905
```

=====

No. 4
The following is a PBE calculation of crystalline Nd12Ho2Tm at its relaxed geometry, from the Alexandria database.

Values from the calculation:
Volume (Å³/f.u.): 549.5
ΔE_f (meV/atom): 325
SG: P4/nbm, No. 125

```
30
Lattice="6.560 0.000 0.000 0.000 6.560 0.000 0.000 0.000 25.534" Properties=species:S:1:pos:R:3 pbc="T T T"
Nd 0.442 3.722 2.895
Nd 0.442 6.118 22.640
Nd 0.537 3.817 14.366
Nd 0.537 6.023 11.168
Nd 1.640 1.640 5.475
Nd 1.640 1.640 8.592
Nd 1.640 1.640 16.942
Nd 1.640 1.640 20.059
Nd 2.743 3.817 11.168
Nd 2.743 6.023 14.366
Nd 2.838 3.722 22.640
Nd 2.838 6.118 2.895
Nd 3.722 0.442 22.640
Nd 3.722 2.838 2.895
Nd 3.817 0.537 11.168
Nd 3.817 2.743 14.366
Nd 4.920 4.920 5.475
Nd 4.920 4.920 8.592
Nd 4.920 4.920 16.942
Nd 4.920 4.920 20.059
Nd 6.023 0.537 14.366
Nd 6.023 2.743 11.168
Nd 6.118 0.442 2.895
Nd 6.118 2.838 22.640
Ho 1.640 4.920 6.928
Ho 1.640 4.920 18.606
Ho 4.920 1.640 6.928
Ho 4.920 1.640 18.606
Tm 1.640 4.920 0.000
Tm 4.920 1.640 0.000
```

=====

No. 5
The following is a PBE calculation of crystalline Nd3Ho2Tm at its relaxed geometry, from the Alexandria database.

Values from the calculation:
Volume (Å³/f.u.): 202.2
ΔE_f (meV/atom): 110
SG: C2/m, No. 12
ΔE to the lowest computed polymorph (eV/atom): 0.000

```
12
Lattice="6.598 -1.774 0.000 6.598 1.774 0.000 -3.826 0.000 17.273" Properties=species:S:1:pos:R:3 pbc="T T T"
Nd 0.254 0.000 2.919
Nd 0.947 0.000 11.436
Nd 4.877 0.000 0.169
Nd 4.494 0.000 17.104
Nd 8.424 0.000 5.838
Nd 9.117 0.000 14.354
Ho -0.600 0.000 14.403
Ho 2.949 0.000 8.640
Ho 6.422 0.000 8.633
Ho 9.971 0.000 2.871
Tm 4.854 0.000 5.499
Tm 4.518 0.000 11.775
```

=====

No. 6
The following is a PBE calculation of crystalline Nd7Ho2Tm2 at its relaxed geometry, from the Alexandria database.

Values from the calculation:
Volume (Å³/f.u.): 373.2
ΔE_f (meV/atom): 146
SG: C2/m, No. 12
ΔE to the lowest computed polymorph (eV/atom): 0.008

```
11
Lattice="5.799 -5.709 0.000 5.799 5.709 0.000 -2.280 0.000 5.636" Properties=species:S:1:pos:R:3 pbc="T T T"
Nd 0.000 0.000 0.000
Nd 1.806 3.103 4.633
Nd 1.297 0.000 3.395
Nd 7.513 3.103 1.003
Nd 1.806 -3.103 4.633
Nd 8.022 0.000 2.241
Nd 7.513 -3.103 1.003
Ho 4.441 0.000 1.144
Ho 4.878 0.000 4.492
Tm 4.659 3.200 2.818
Tm 4.659 -3.200 2.818
```

=====

No. 7
The following is a PBE calculation of crystalline NdHo8Tm3 at its relaxed geometry, from the Alexandria database.

Values from the calculation:
Volume (Å³/f.u.): 403.8
ΔE_f (meV/atom): 339
SG: Immm, No. 71

```
12
Lattice="-3.193 5.598 5.648 3.193 -5.598 5.648 3.193 5.598 -5.648" Properties=species:S:1:pos:R:3 pbc="T T T"
Nd 0.000 0.000 0.000
Ho 3.193 3.715 -2.813
Ho 1.568 2.898 0.000
Ho 1.626 -2.700 5.648
Ho 0.000 1.883 2.835
Ho 3.193 3.715 2.813
Ho 1.568 8.298 0.000
Ho 1.626 2.700 5.648
Ho 0.000 1.883 8.461
Tm 3.193 0.000 2.930
Tm 0.000 0.000 5.648
Tm 0.000 5.598 2.717
```

=====

No. 8
The following is a PBE calculation of crystalline Nd4HoTm15 at its relaxed geometry, from the Alexandria database.

Values from the calculation:
Volume (Å³/f.u.): 620.4
ΔE_f (meV/atom): 27
SG: P4/mmm, No. 123

```
20
Lattice="4.995 0.000 0.000 0.000 4.995 0.000 0.000 0.000 24.867" Properties=species:S:1:pos:R:3 pbc="T T T"
Nd 0.000 0.000 2.500
Nd 0.000 0.000 7.477
Nd 0.000 0.000 17.390
Nd 0.000 0.000 22.367
Ho 0.000 0.000 12.433
Tm 0.000 2.498 0.000
Tm 0.000 2.498 4.994
Tm 0.000 2.498 9.988
Tm 0.000 2.498 14.879
Tm 0.000 2.498 19.873
Tm 2.498 0.000 0.000
Tm 2.498 0.000 4.994
Tm 2.498 0.000 9.988
Tm 2.498 0.000 14.879
Tm 2.498 0.000 19.873
Tm 2.498 2.498 2.496
Tm 2.498 2.498 7.493
Tm 2.498 2.498 12.433
Tm 2.498 2.498 17.374
Tm 2.498 2.498 22.371
```

=====

No. 9
The following is a PBE calculation of crystalline NdHo3Tm at its relaxed geometry, from the Alexandria database.

Values from the calculation:
Volume (Å³/f.u.): 173.5
ΔE_f (meV/atom): 337
SG: P2_1/m, No. 11
ΔE to the lowest computed polymorph (eV/atom): 0.325

```
10
Lattice="3.625 0.000 0.000 0.000 11.552 0.000 -1.811 0.000 8.284" Properties=species:S:1:pos:R:3 pbc="T T T"
Nd -0.001 2.888 3.220
Nd 1.815 8.664 5.065
Ho 0.002 8.664 2.352
Ho 0.001 0.020 5.758
Ho 0.001 5.755 5.758
Ho 1.813 5.796 2.526
Ho 1.813 11.531 2.526
Ho 1.812 2.888 5.932
Tm 0.004 8.664 7.934
Tm 1.810 2.888 0.351
```

=====

No. 10
The following is a PBE calculation of crystalline NdHo8Tm5 at its relaxed geometry, from the Alexandria database.

Values from the calculation:
Volume (Å³/f.u.): 449.7
ΔE_f (meV/atom): 251
SG: I-4, No. 82

```
14
Lattice="-4.708 4.708 5.072 4.708 -4.708 5.072 4.708 4.708 -5.072" Properties=species:S:1:pos:R:3 pbc="T T T"
Nd 0.000 0.000 0.000
Ho 6.318 0.842 0.024
Ho 1.662 -0.666 3.566
Ho 0.842 3.097 -0.024
Ho 3.046 5.374 -1.506
Ho 4.042 3.046 1.506
Ho 3.866 1.611 5.048
Ho 0.666 1.662 6.577
Ho -1.611 3.866 5.095
Tm 3.636 1.963 -1.796
Tm 4.708 0.000 2.536
Tm 2.745 -1.072 6.868
Tm 1.072 2.745 3.275
Tm 1.963 5.780 1.796
```